Computed, not measured: a relaxed Al2FeRu crystal at the PBE level of DFT.

Cell: 3.6554 3.6554 8.1432 Å, 90.00 90.00 90.00°
Space group I-4m2 (No. 119)
Symmetry-distinct sites (fractional):
Al 0.0000 0.0000 0.0000 [2 per cell]
Al 0.0000 0.5000 0.2500 [2 per cell]
Fe 0.0000 0.5000 0.7500 [2 per cell]
Ru 0.0000 0.0000 0.5000 [2 per cell]

* total moment: 5.896 Bohr magnetons per cell
* calculated volume: 13.601 Å³ per atom
* energy relative to the elements: -0.34 eV/atom
* total DFT energy (no corrections): -6.64 eV/atom

Computed, not measured: a relaxed Al2FeRu crystal at the PBE level of DFT.

Cell: 6.0045 6.0045 6.0045 Å, 90.00 90.00 90.00°
Space group F-43m (No. 216)
Symmetry-distinct sites (fractional):
Al 0.0000 0.0000 0.0000 [4 per cell]
Al 0.2500 0.2500 0.2500 [4 per cell]
Fe 0.0000 0.0000 0.5000 [4 per cell]
Ru 0.2500 0.2500 0.7500 [4 per cell]

* total moment: 11.907 Bohr magnetons per cell
* calculated volume: 13.530 Å³ per atom
* energy relative to the elements: -0.25 eV/atom
* total DFT energy (no corrections): -6.55 eV/atom